# 1
VASP calculation (PBE) on Tm6HgRh5 after structural relaxation.

CIF file:
```
data_Tm6HgRh5
_chemical_formula_sum 'Tm12 Hg2 Rh10'
_space_group_name_H-M_alt 'C 1 2/m 1'
_space_group_IT_number 12
_cell_length_a 15.3606
_cell_length_b 6.8053
_cell_length_c 4.8689
_cell_angle_alpha 90.00
_cell_angle_beta 108.13
_cell_angle_gamma 90.00
loop_
_space_group_symop_operation_xyz
'x,y,z'
'-x,-y,-z'
'-x,y,-z'
'x,-y,z'
'x+1/2,y+1/2,z'
'-x+1/2,-y+1/2,-z'
'-x+1/2,y+1/2,-z'
'x+1/2,-y+1/2,z'
loop_
_atom_site_label
_atom_site_type_symbol
_atom_site_fract_x
_atom_site_fract_y
_atom_site_fract_z
_atom_site_occupancy
Tm1 Tm 0.0000 0.2374 0.0000 1
Tm2 Tm 0.1719 0.2447 0.6723 1
Hg1 Hg 0.0000 0.5000 0.5000 1
Rh1 Rh 0.0000 0.0000 0.5000 1
Rh2 Rh 0.1662 0.0000 0.1663 1
Rh3 Rh 0.1668 0.5000 0.1665 1
```

Calculated values
Energy relative to the elements = -82.3 kJ/mol of atoms



# 2
VASP calculation (PBE) on SrLa after structural relaxation.

CIF file:
```
data_SrLa
_chemical_formula_sum 'Sr1 La1'
_space_group_name_H-M_alt 'P -6 m 2'
_space_group_IT_number 187
_space_group_name_Hall 'P -6 2'
_cell_length_a 3.9249
_cell_length_b 3.9249
_cell_length_c 6.5688
_cell_angle_alpha 90.00
_cell_angle_beta 90.00
_cell_angle_gamma 120.00
loop_
_atom_site_label
_atom_site_type_symbol
_atom_site_fract_x
_atom_site_fract_y
_atom_site_fract_z
_atom_site_occupancy
Sr1 Sr 0.0000 0.0000 0.0000 1
La1 La 0.3333 0.6667 0.5000 1
```

Calculated values
Energy relative to the elements = 14.6 kJ/mol of atoms



# 3
VASP calculation (PBE) on BeTl3Se after structural relaxation.

CIF file:
```
data_BeTl3Se
_chemical_formula_sum 'Be1 Tl3 Se1'
_space_group_name_H-M_alt 'P m -3 m'
_space_group_IT_number 221
_space_group_name_Hall '-P 4 2 3'
_cell_length_a 5.0480
_cell_length_b 5.0480
_cell_length_c 5.0480
_cell_angle_alpha 90.00
_cell_angle_beta 90.00
_cell_angle_gamma 90.00
loop_
_atom_site_label
_atom_site_type_symbol
_atom_site_fract_x
_atom_site_fract_y
_atom_site_fract_z
_atom_site_occupancy
Be1 Be 0.0000 0.0000 0.0000 1
Tl1 Tl 0.0000 0.0000 0.5000 1
Se1 Se 0.5000 0.5000 0.5000 1
```

Calculated values
Final energy = -2.750 eV/atom



# 4
VASP calculation (PBE) on CoTcS2Cl after structural relaxation.

CIF file:
```
data_CoTcS2Cl
_chemical_formula_sum 'Co1 Tc1 S2 Cl1'
_space_group_name_H-M_alt 'P 4/m m m'
_space_group_IT_number 123
_space_group_name_Hall '-P 4 2'
_cell_length_a 4.4741
_cell_length_b 4.4741
_cell_length_c 4.5286
_cell_angle_alpha 90.00
_cell_angle_beta 90.00
_cell_angle_gamma 90.00
loop_
_atom_site_label
_atom_site_type_symbol
_atom_site_fract_x
_atom_site_fract_y
_atom_site_fract_z
_atom_site_occupancy
Co1 Co 0.0000 0.0000 0.0000 1
Tc1 Tc 0.5000 0.5000 0.5000 1
S1 S 0.0000 0.5000 0.0000 1
Cl1 Cl 0.0000 0.0000 0.5000 1
```

Calculated values
Final energy = -4.870 eV/atom



# 5
VASP calculation (PBE) on Ho2Al3Au9 after structural relaxation.

CIF file:
```
data_Ho2Al3Au9
_chemical_formula_sum 'Ho8 Al12 Au36'
_space_group_name_H-M_alt 'C 1 2/c 1'
_space_group_IT_number 15
_cell_length_a 13.7104
_cell_length_b 7.8983
_cell_length_c 10.8322
_cell_angle_alpha 90.00
_cell_angle_beta 115.31
_cell_angle_gamma 90.00
loop_
_space_group_symop_operation_xyz
'x,y,z'
'-x,-y,-z'
'-x,y,-z+1/2'
'x,-y,z+1/2'
'x+1/2,y+1/2,z'
'-x+1/2,-y+1/2,-z'
'-x+1/2,y+1/2,-z+1/2'
'x+1/2,-y+1/2,z+1/2'
loop_
_atom_site_label
_atom_site_type_symbol
_atom_site_fract_x
_atom_site_fract_y
_atom_site_fract_z
_atom_site_occupancy
Ho1 Ho 0.1678 0.0831 0.2473 1
Al1 Al 0.0861 0.2386 0.4984 1
Al2 Al 0.2500 0.2500 0.0000 1
Au1 Au 0.0000 0.3506 0.2500 1
Au2 Au 0.0600 0.0811 0.9273 1
Au3 Au 0.1104 0.4108 0.0742 1
Au4 Au 0.1142 0.3038 0.7452 1
Au5 Au 0.2276 0.4174 0.4344 1
```

Calculated values
Energy relative to the elements = -58.7 kJ/mol of atoms



# 6
VASP calculation (PBE) on BeCu2W after structural relaxation.

CIF file:
```
data_BeCu2W
_chemical_formula_sum 'Be2 Cu4 W2'
_space_group_name_H-M_alt 'I 4/m m m'
_space_group_IT_number 139
_space_group_name_Hall '-I 4 2'
_cell_length_a 3.6137
_cell_length_b 3.6137
_cell_length_c 7.5178
_cell_angle_alpha 90.00
_cell_angle_beta 90.00
_cell_angle_gamma 90.00
loop_
_atom_site_label
_atom_site_type_symbol
_atom_site_fract_x
_atom_site_fract_y
_atom_site_fract_z
_atom_site_occupancy
Be1 Be 0.0000 0.0000 0.0000 1
Cu1 Cu 0.0000 0.5000 0.2500 1
W1 W 0.0000 0.0000 0.5000 1
```

Calculated values
Energy relative to the elements = 36.5 kJ/mol of atoms



| no. | DOS(E_F) (states/eV/atom) | ρ (g/cm³) |
| --- | --- | --- |
| 1 | 0.641 | 11.87 |
| 2 | 1.755 | 4.29 |
| 3 | 0.257 | 9.05 |
| 4 | 0.820 | 4.70 |
| 5 | 0.402 | 13.68 |
| 6 | 0.608 | 10.82 |